No. 1
Crystalline La2InHg2 at its relaxed geometry, computed with GGA-PBEsol.

Cell lengths 8.244, 8.244, 4.109 Å; angles 90.00, 90.00, 90.00 degrees
Space group P4/mbm (No. 127)
Unique sites:
La 0.175 0.325 0.000 [4 per cell]
In 0.000 0.000 0.500 [2 per cell]
Hg 0.126 0.626 0.500 [4 per cell]

Fermi-level density of states: 4.6 states/eV/f.u.
volume: 27.922 A^3/atom

No. 2
Crystalline LaIn2Hg at its relaxed geometry, computed with GGA-PBEsol.

Cell lengths 4.774, 4.774, 9.034 Å; angles 90.00, 90.00, 90.00 degrees
Space group I-4m2 (No. 119)
Unique sites:
La 0.000 0.000 0.000 [2 per cell]
In 0.000 0.000 0.500 [2 per cell]
In 0.000 0.500 0.750 [2 per cell]
Hg 0.000 0.500 0.250 [2 per cell]

Fermi-level density of states: 2.3 states/eV/f.u.
volume: 25.734 A^3/atom

No. 3
Crystalline La2InHg at its relaxed geometry, computed with GGA-PBEsol.

Cell lengths 3.883, 5.292, 10.911 Å; angles 90.00, 90.00, 90.00 degrees
Space group Imm2 (No. 44)
Unique sites:
La 0.000 0.000 0.000 [2 per cell]
La 0.000 0.500 0.228 [2 per cell]
In 0.000 0.500 0.775 [2 per cell]
Hg 0.000 0.000 0.477 [2 per cell]

Fermi-level density of states: 4.0 states/eV/f.u.
volume: 28.026 A^3/atom

No. 4
Crystalline LaInHg at its relaxed geometry, computed with GGA-PBEsol.

Cell lengths 6.609, 5.180, 9.270 Å; angles 90.00, 90.00, 90.00 degrees
Space group Pnma (No. 62)
Unique sites:
La 0.218 0.250 0.080 [4 per cell]
In 0.012 0.250 0.735 [4 per cell]
Hg 0.206 0.250 0.411 [4 per cell]

Fermi-level density of states: 1.3 states/eV/f.u.
volume: 26.449 A^3/atom

No. 5
Crystalline La2InHg at its relaxed geometry, computed with GGA-PBEsol.

Cell lengths 4.640, 4.640, 10.196 Å; angles 90.00, 90.00, 90.00 degrees
Space group I-4m2 (No. 119)
Unique sites:
La 0.000 0.000 0.000 [2 per cell]
La 0.000 0.500 0.250 [2 per cell]
In 0.000 0.500 0.750 [2 per cell]
Hg 0.000 0.000 0.500 [2 per cell]

Fermi-level density of states: 4.6 states/eV/f.u.
volume: 27.440 A^3/atom

No. 6
Crystalline LaInHg at its relaxed geometry, computed with GGA-PBEsol.

Cell lengths 4.9412, 4.9412, 3.7101 Å; angles 90.00, 90.00, 120.00 degrees
Space group P-6m2 (No. 187)
Unique sites:
La 0.0000 0.0000 0.0000 [1 per cell]
In 0.6667 0.3333 0.5000 [1 per cell]
Hg 0.3333 0.6667 0.5000 [1 per cell]

Fermi-level density of states: 2.4 states/eV/f.u.
volume: 26.149 A^3/atom

No. 7
Crystalline La2In2Hg at its relaxed geometry, computed with GGA-PBEsol.

Cell lengths 7.524, 7.524, 4.974 Å; angles 90.00, 90.00, 90.00 degrees
Space group P4/mbm (No. 127)
Unique sites:
La 0.169 0.331 0.000 [4 per cell]
In 0.136 0.636 0.500 [4 per cell]
Hg 0.000 0.000 0.500 [2 per cell]

Fermi-level density of states: 4.0 states/eV/f.u.
volume: 28.158 A^3/atom

No. 8
Crystalline LaIn2Hg2 at its relaxed geometry, computed with GGA-PBEsol.

Cell lengths 4.542, 4.542, 12.253 Å; angles 90.00, 90.00, 90.00 degrees
Space group I4/mmm (No. 139)
Unique sites:
La 0.000 0.000 0.000 [2 per cell]
In 0.000 0.500 0.250 [4 per cell]
Hg 0.000 0.000 0.390 [4 per cell]

Fermi-level density of states: 1.7 states/eV/f.u.
volume: 25.283 A^3/atom

No. 9
Crystalline La2InHg at its relaxed geometry, computed with GGA-PBEsol.

Cell lengths 7.726, 7.776, 3.848 Å; angles 90.00, 90.00, 90.00 degrees
Space group Cmmm (No. 65)
Unique sites:
La 0.250 0.250 0.000 [4 per cell]
In 0.000 0.000 0.500 [2 per cell]
Hg 0.000 0.500 0.500 [2 per cell]

Fermi-level density of states: 6.3 states/eV/f.u.
volume: 28.894 A^3/atom

No. 10
Crystalline Li2InHg at its relaxed geometry, computed with GGA-PBEsol.

Cell lengths 4.595, 4.595, 3.370 Å; angles 90.00, 90.00, 90.00 degrees
Space group P4/mmm (No. 123)
Unique sites:
Li 0.000 0.500 0.000 [2 per cell]
In 0.000 0.000 0.500 [1 per cell]
Hg 0.500 0.500 0.500 [1 per cell]

Fermi-level density of states: 1.0 states/eV/f.u.
volume: 17.788 A^3/atom

No. 11
Crystalline LiInHg at its relaxed geometry, computed with GGA-PBEsol.

Cell lengths 6.546, 6.546, 6.546 Å; angles 90.00, 90.00, 90.00 degrees
Space group F-43m (No. 216)
Unique sites:
Li 0.000 0.000 0.000 [4 per cell]
In 0.000 0.000 0.500 [4 per cell]
Hg 0.250 0.250 0.750 [4 per cell]

Fermi-level density of states: 1.5 states/eV/f.u.
volume: 23.372 A^3/atom
polymorph energy (0 for the lowest one): 77.4 meV/atom

No. 12
Crystalline Li2InHg at its relaxed geometry, computed with GGA-PBEsol.

Cell lengths 3.403, 3.403, 6.190 Å; angles 90.00, 90.00, 90.00 degrees
Space group P4/mmm (No. 123)
Unique sites:
Li 0.000 0.000 0.239 [2 per cell]
In 0.500 0.500 0.500 [1 per cell]
Hg 0.500 0.500 0.000 [1 per cell]

Fermi-level density of states: 1.4 states/eV/f.u.
volume: 17.924 A^3/atom

No. 13
Crystalline LiInHg at its relaxed geometry, computed with GGA-PBEsol.

Cell lengths 3.472, 3.966, 8.825 Å; angles 90.00, 90.00, 90.00 degrees
Space group Imm2 (No. 44)
Unique sites:
Li 0.000 0.000 0.000 [2 per cell]
In 0.000 0.000 0.328 [2 per cell]
Hg 0.000 0.000 0.659 [2 per cell]

Fermi-level density of states: 0.8 states/eV/f.u.
volume: 20.256 A^3/atom
polymorph energy (0 for the lowest one): 0.0 meV/atom

No. 14
Crystalline Li2InHg2 at its relaxed geometry, computed with GGA-PBEsol.

Cell lengths 7.640, 7.640, 3.277 Å; angles 90.00, 90.00, 90.00 degrees
Space group P4/mbm (No. 127)
Unique sites:
Li 0.141 0.359 0.000 [4 per cell]
In 0.000 0.000 0.000 [2 per cell]
Hg 0.151 0.651 0.500 [4 per cell]

Fermi-level density of states: 1.4 states/eV/f.u.
volume: 19.126 A^3/atom

No. 15
Crystalline Li2In2Hg at its relaxed geometry, computed with GGA-PBEsol.

Cell lengths 7.688, 7.688, 3.430 Å; angles 90.00, 90.00, 90.00 degrees
Space group P4/mbm (No. 127)
Unique sites:
Li 0.161 0.339 0.000 [4 per cell]
In 0.139 0.639 0.500 [4 per cell]
Hg 0.000 0.000 0.500 [2 per cell]

Fermi-level density of states: 1.5 states/eV/f.u.
volume: 20.274 A^3/atom

No. 16
Crystalline Li2InHg at its relaxed geometry, computed with GGA-PBEsol.

Cell lengths 3.485, 3.485, 6.211 Å; angles 90.00, 90.00, 90.00 degrees
Space group P4mm (No. 99)
Unique sites:
Li 0.000 0.000 0.000 [1 per cell]
Li 0.500 0.500 0.255 [1 per cell]
In 0.500 0.500 0.760 [1 per cell]
Hg 0.000 0.000 0.454 [1 per cell]

Fermi-level density of states: 1.2 states/eV/f.u.
volume: 18.856 A^3/atom

No. 17
Crystalline LiInHg at its relaxed geometry, computed with GGA-PBEsol.

Cell lengths 3.167, 3.167, 12.060 Å; angles 90.00, 90.00, 90.00 degrees
Space group I4mm (No. 107)
Unique sites:
Li 0.000 0.000 0.000 [2 per cell]
In 0.000 0.000 0.334 [2 per cell]
Hg 0.000 0.000 0.640 [2 per cell]

Fermi-level density of states: 1.0 states/eV/f.u.
volume: 20.160 A^3/atom
polymorph energy (0 for the lowest one): 15.1 meV/atom

No. 18
Crystalline LiIn2Hg2 at its relaxed geometry, computed with GGA-PBEsol.

Cell lengths 7.725, 7.725, 3.993 Å; angles 90.00, 90.00, 90.00 degrees
Space group P4/mbm (No. 127)
Unique sites:
Li 0.000 0.000 0.000 [2 per cell]
In 0.160 0.340 0.500 [4 per cell]
Hg 0.145 0.645 0.000 [4 per cell]

Fermi-level density of states: 1.9 states/eV/f.u.
volume: 23.830 A^3/atom

No. 19
Crystalline LiInHg at its relaxed geometry, computed with GGA-PBEsol.

Cell lengths 4.8390, 4.8390, 3.1683 Å; angles 90.00, 90.00, 120.00 degrees
Space group P-6m2 (No. 187)
Unique sites:
Li 0.0000 0.0000 0.0000 [1 per cell]
In 0.3333 0.6667 0.5000 [1 per cell]
Hg 0.6667 0.3333 0.5000 [1 per cell]

Fermi-level density of states: 0.7 states/eV/f.u.
volume: 21.416 A^3/atom
polymorph energy (0 for the lowest one): 1.8 meV/atom

No. 20
Crystalline LiInHg4 at its relaxed geometry, computed with GGA-PBEsol.

Cell lengths 8.334, 8.334, 8.334 Å; angles 90.00, 90.00, 90.00 degrees
Space group F-43m (No. 216)
Unique sites:
Li 0.000 0.000 0.000 [4 per cell]
In 0.250 0.250 0.250 [4 per cell]
Hg 0.125 0.125 0.625 [16 per cell]

Fermi-level density of states: 2.5 states/eV/f.u.
volume: 24.121 A^3/atom

no.,formation enthalpy at 0 K (eV/atom)
1,-0.53
2,-0.43
3,-0.49
4,-0.59
5,-0.47
6,-0.58
7,-0.48
8,-0.40
9,-0.52
10,-0.37
11,-0.20
12,-0.37
13,-0.27
14,-0.29
15,-0.22
16,-0.30
17,-0.26
18,-0.12
19,-0.27
20,-0.03